HoErP after structural relaxation. Source: Alexandria, functional PBE.

Computed properties:
**Relative energy among the computed polymorphs**: 0.196 eV per atom
**Density of states at the Fermi level**: 1.82 states/eV/f.u.
**Volume**: 24.493 Å³/atom
**Energy**: -5.62 eV/atom
**Space group**: I4mm, No. 107

The structure in POSCAR format:
```
HoErP
1.0
3.484 0.000 0.000
0.000 3.484 0.000
-1.742 -1.742 6.055
P Er Ho
1 1 1
direct
0.617 0.617 0.235
0.248 0.248 0.495
0.985 0.985 0.970
```